{"formula": "Ac2TbPu", "functional": "PBE-GGA", "state": "optimized geometry", "cell": [[1.8541, 1.0705, 12.9713], [-1.8541, 1.0705, 12.9713], [0.0000, -2.1410, 12.9713]], "species": ["Ac", "Ac", "Tb", "Pu"], "frac_coords": [[0.0886, 0.0886, 0.0886], [0.9114, 0.9114, 0.9114], [0.5000, 0.5000, 0.5000], [0.0000, 0.0000, 0.0000]], "total_energy_ev_per_atom": -6.449, "formation_energy_ev_per_atom": 0.345, "crystal_system": "trigonal"}